The following is a DFT calculation (PBE) of a relaxed Tl2BBr crystal.

## Properties
The relative energy among the computed polymorphs comes out at 0.000 kcal/mol of atoms.

The structure in CIF format:
```
data_Tl2BBr
_chemical_formula_sum 'Tl8 B4 Br4'
_cell_length_a 6.3458
_cell_length_b 6.3458
_cell_length_c 11.5566
_cell_angle_alpha 90.00
_cell_angle_beta 90.00
_cell_angle_gamma 90.00
_symmetry_space_group_name_H-M 'I -4 2 d'
_symmetry_Int_Tables_number 122
_symmetry_space_group_name_Hall 'I -4 2bw'
loop_
_atom_site_label
_atom_site_fract_x
_atom_site_fract_y
_atom_site_fract_z
Tl1 0.1115 0.2500 0.1250
B1 0.0000 0.0000 0.0000
Br1 0.0000 0.0000 0.5000
```

***

The following is a DFT calculation (PBE) of a relaxed Tm4BBr5 crystal.

## Properties
The relative energy among the computed polymorphs comes out at 0.000 kcal/mol of atoms.

The structure in CIF format:
```
data_Tm4BBr5
_chemical_formula_sum 'Tm8 B2 Br10'
_cell_length_a 17.7513
_cell_length_b 3.8526
_cell_length_c 8.0651
_cell_angle_alpha 90.00
_cell_angle_beta 102.74
_cell_angle_gamma 90.00
_symmetry_space_group_name_H-M 'C 1 2/m 1'
_symmetry_Int_Tables_number 12
loop_
_symmetry_equiv_pos_as_xyz
'x,y,z'
'-x,-y,-z'
'-x,y,-z'
'x,-y,z'
'x+1/2,y+1/2,z'
'-x+1/2,-y+1/2,-z'
'-x+1/2,y+1/2,-z'
'x+1/2,-y+1/2,z'
loop_
_atom_site_label
_atom_site_fract_x
_atom_site_fract_y
_atom_site_fract_z
Tm1 0.0006 0.0000 0.2950
Tm2 0.1409 0.5000 0.5738
B1 0.0000 0.5000 0.5000
Br1 0.0000 0.5000 0.0000
Br2 0.1654 0.0000 0.8369
Br3 0.1723 0.0000 0.3335
```

***

The following is a DFT calculation (PBE) of a relaxed Tm4B2Br5 crystal.

## Properties
The final energy comes out at -4.793 eV per atom.

The structure in CIF format:
```
data_Tm4B2Br5
_chemical_formula_sum 'Tm8 B4 Br10'
_cell_length_a 3.7972
_cell_length_b 7.8653
_cell_length_c 21.0277
_cell_angle_alpha 90.00
_cell_angle_beta 90.00
_cell_angle_gamma 90.00
_symmetry_space_group_name_H-M 'I m m m'
_symmetry_Int_Tables_number 71
_symmetry_space_group_name_Hall '-I 2 2'
loop_
_atom_site_label
_atom_site_fract_x
_atom_site_fract_y
_atom_site_fract_z
Tm1 0.0000 0.0000 0.1453
Tm2 0.0000 0.3017 0.5000
B1 0.0000 0.0000 0.0377
Br1 0.0000 0.2432 0.3388
Br2 0.0000 0.5000 0.0000
```

***

The following is a DFT calculation (PBE) of a relaxed Tm4BBr5 crystal.

## Properties
The relative energy among the computed polymorphs comes out at 0.520 kcal/mol of atoms.

The structure in CIF format:
```
data_Tm4BBr5
_chemical_formula_sum 'Tm8 B2 Br10'
_cell_length_a 19.9121
_cell_length_b 3.8474
_cell_length_c 8.0118
_cell_angle_alpha 90.00
_cell_angle_beta 90.28
_cell_angle_gamma 90.00
_symmetry_space_group_name_H-M 'C 1 2/m 1'
_symmetry_Int_Tables_number 12
loop_
_symmetry_equiv_pos_as_xyz
'x,y,z'
'-x,-y,-z'
'-x,y,-z'
'x,-y,z'
'x+1/2,y+1/2,z'
'-x+1/2,-y+1/2,-z'
'-x+1/2,y+1/2,-z'
'x+1/2,-y+1/2,z'
loop_
_atom_site_label
_atom_site_fract_x
_atom_site_fract_y
_atom_site_fract_z
Tm1 0.9999 0.0000 0.2069
Tm2 0.1208 0.5000 0.0017
B1 0.0000 0.5000 0.0000
Br1 0.0000 0.5000 0.5000
Br2 0.1491 0.0000 0.2513
Br3 0.1494 0.0000 0.7528
```

***

Copy entry 3 word for word.
The following is a DFT calculation (PBE) of a relaxed Tm4B2Br5 crystal.

## Properties
The final energy comes out at -4.793 eV per atom.

The structure in CIF format:
```
data_Tm4B2Br5
_chemical_formula_sum 'Tm8 B4 Br10'
_cell_length_a 3.7972
_cell_length_b 7.8653
_cell_length_c 21.0277
_cell_angle_alpha 90.00
_cell_angle_beta 90.00
_cell_angle_gamma 90.00
_symmetry_space_group_name_H-M 'I m m m'
_symmetry_Int_Tables_number 71
_symmetry_space_group_name_Hall '-I 2 2'
loop_
_atom_site_label
_atom_site_fract_x
_atom_site_fract_y
_atom_site_fract_z
Tm1 0.0000 0.0000 0.1453
Tm2 0.0000 0.3017 0.5000
B1 0.0000 0.0000 0.0377
Br1 0.0000 0.2432 0.3388
Br2 0.0000 0.5000 0.0000
```